VASP calculation (PBE-GGA) on a relaxed K2CaMg crystal.

a = 4.1470 Å, b = 6.9342 Å, c = 13.7008 Å
α = 90.00°, β = 90.00°, γ = 90.00°
Element x y z (fractional)
K 0.0000 0.0000 0.0000
K 0.0000 0.5000 0.2134
K 0.5000 0.0000 0.7134
K 0.5000 0.5000 0.5000
Ca 0.0000 0.0000 0.4280
Ca 0.5000 0.5000 0.9280
Mg 0.0000 0.5000 0.7325
Mg 0.5000 0.0000 0.2325

Properties
Spin magnetization: 0.00 μB per formula unit
Mass density: 1.20 g/cm³
ΔH_f (0 K): 0.20 eV per atom